BeCoSO after structural relaxation, computed with GGA+U.

The space group is Pca2_1 (No. 29) and the conventional cell measures 5.069, 7.707 and 4.766 Å, with angles of 90.00, 90.00 and 90.00 degrees. The inequivalent atoms are Be at (0.113, 0.055, 0.000), Co at (0.020, 0.338, 0.387), S at (0.021, 0.661, 0.385) and O at (0.107, 0.058, 0.343).

The final energy comes out at -5.799 eV/atom. The volume comes out at 11.637 A^3/atom.